# 1
Density functional theory data (GGA-PBEsol) for an optimized crystal structure of PdPb2WSe.

Values from the calculation:
* uncorrected formation energy: 0.998 eV/atom
* electronic total energy: -5.3246 eV/atom
* spin magnetization: 0.00 μB per formula unit
* mass density: 9.60 g cm⁻³

Cell and atoms, written as extended XYZ:
```
5
Lattice="4.7220 0.0000 0.0000 0.0000 5.3586 0.0000 0.0000 0.0000 5.3586" Properties=species:S:1:pos:R:3 pbc="T T T"
Pb 0.0000 0.0000 2.6793
Pb 0.0000 2.6793 0.0000
Se 2.3610 2.6793 2.6793
Pd 2.3610 0.0000 0.0000
W 0.0000 0.0000 0.0000
```

# 2
Density functional theory data (GGA-PBEsol) for an optimized crystal structure of SiSnPdPb2.

Values from the calculation:
* uncorrected formation energy: 1.121 eV/atom
* electronic total energy: -3.6714 eV/atom
* spin magnetization: 0.00 μB per formula unit
* mass density: 7.03 g cm⁻³

Cell and atoms, written as extended XYZ:
```
5
Lattice="4.9272 0.0000 0.0000 0.0000 5.6557 0.0000 0.0000 0.0000 5.6557" Properties=species:S:1:pos:R:3 pbc="T T T"
Pb 0.0000 0.0000 2.8279
Pb 0.0000 2.8279 0.0000
Si 2.4636 0.0000 0.0000
Sn 0.0000 0.0000 0.0000
Pd 2.4636 2.8279 2.8279
```

# 3
Density functional theory data (GGA-PBEsol) for an optimized crystal structure of SmPdPb.

Values from the calculation:
* electronic total energy: -5.7715 eV/atom
* spin magnetization: 0.00 μB per formula unit
* formation energy: -2.26 eV/f.u.
* mass density: 11.33 g cm⁻³

Cell and atoms, written as extended XYZ:
```
9
Lattice="-3.8321 -0.8874 -0.6106 0.0883 -4.6146 6.1527 -1.8450 7.4251 0.7880" Properties=species:S:1:pos:R:3 pbc="T T T"
Sm -1.8636 -3.1843 3.3488
Sm -2.6295 0.6977 2.5133
Sm -3.0118 3.9660 0.1627
Pd -1.2006 3.4119 2.5762
Pd -0.5561 -0.6013 4.3644
Pd -1.9161 -0.4437 -0.3053
Pb 0.0230 -1.2041 1.6055
Pb -1.2983 2.0772 5.1295
Pb -0.4814 1.9375 0.2056
```

# 4
Density functional theory data (GGA-PBEsol) for an optimized crystal structure of Sm2Pd2Pb.

Values from the calculation:
* electronic total energy: -6.0336 eV/atom
* spin magnetization: 0.00 μB per formula unit
* formation energy: -4.07 eV/f.u.
* mass density: 10.60 g cm⁻³

Cell and atoms, written as extended XYZ:
```
10
Lattice="3.7228 0.0000 0.0000 0.0000 7.7883 0.0000 0.0000 0.0000 7.7883" Properties=species:S:1:pos:R:3 pbc="T T T"
Sm 1.8614 2.5304 6.4246
Sm 1.8614 5.2579 1.3637
Sm 1.8614 6.4246 5.2579
Sm 1.8614 1.3637 2.5304
Pd 0.0000 0.9710 4.8652
Pd 0.0000 2.9231 0.9710
Pd 0.0000 6.8173 2.9231
Pd 0.0000 4.8652 6.8173
Pb 0.0000 0.0000 0.0000
Pb 0.0000 3.8942 3.8942
```

# 5
Density functional theory data (GGA-PBEsol) for an optimized crystal structure of SmPd2Pb.

Values from the calculation:
* electronic total energy: -5.9161 eV/atom
* spin magnetization: 0.00 μB per formula unit
* formation energy: -2.66 eV/f.u.
* mass density: 11.83 g cm⁻³

Cell and atoms, written as extended XYZ:
```
4
Lattice="-4.2987 2.0302 0.8936 -1.4806 0.6191 4.5633 -0.2286 4.4485 1.8861" Properties=species:S:1:pos:R:3 pbc="T T T"
Pb 0.0000 0.0000 0.0000
Sm -3.0039 3.5489 3.6715
Pd -1.5020 1.7744 1.8358
Pd -4.5059 5.3233 5.5073
```

# 6
Density functional theory data (GGA-PBEsol) for an optimized crystal structure of Ta3PdPb.

Values from the calculation:
* electronic total energy: -6.9712 eV/atom
* spin magnetization: 0.00 μB per formula unit
* formation energy: 12.75 eV/f.u.
* mass density: 11.38 g cm⁻³

Cell and atoms, written as extended XYZ:
```
5
Lattice="-0.8027 1.2210 -4.7813 -4.9328 -0.3362 0.7422 -0.1402 4.8365 1.2587" Properties=species:S:1:pos:R:3 pbc="T T T"
Pb 0.0000 0.0000 0.0000
Pd -2.9378 2.8607 -1.3902
Ta -2.4664 -0.1681 0.3711
Ta -0.0701 2.4183 0.6293
Ta -0.4013 0.6105 -2.3907
```

# 7
Density functional theory data (GGA-PBEsol) for an optimized crystal structure of TaPdPb3.

Values from the calculation:
* electronic total energy: -5.0239 eV/atom
* spin magnetization: 2.66 μB per formula unit
* E above lowest polymorph: 0.139 eV per atom
* formation energy: 5.39 eV/f.u.
* mass density: 10.83 g cm⁻³

Cell and atoms, written as extended XYZ:
```
5
Lattice="-3.9259 0.6541 3.3237 -0.1034 -5.1085 0.8831 3.3859 0.6023 3.8808" Properties=species:S:1:pos:R:3 pbc="T T T"
Pb -0.0517 -2.5543 0.4416
Pb 1.6929 0.3012 1.9404
Pb -1.9630 0.3270 1.6619
Pd 0.0000 0.0000 0.0000
Ta -0.3217 -1.9261 4.0438
```

# 8
Density functional theory data (GGA-PBEsol) for an optimized crystal structure of TaPdPb3.

Values from the calculation:
* electronic total energy: -5.1627 eV/atom
* spin magnetization: 0.00 μB per formula unit
* E above lowest polymorph: 0.000 eV per atom
* formation energy: 4.69 eV/f.u.
* mass density: 9.76 g cm⁻³

Cell and atoms, written as extended XYZ:
```
5
Lattice="5.3676 0.0000 0.0000 0.0000 5.3676 0.0000 0.0000 0.0000 5.3676" Properties=species:S:1:pos:R:3 pbc="T T T"
Pb 0.0000 2.6838 0.0000
Pb 0.0000 0.0000 2.6838
Pb 2.6838 0.0000 0.0000
Pd 2.6838 2.6838 2.6838
Ta 0.0000 0.0000 0.0000
```

What is the electronic total energy in the sixth record?
-6.9712 eV/atom